<1>
# AlCr3Te | Alexandria via LeMat-Bulk | PBE | optimized geometry
data_AlCr3Te
_cell_length_a 5.138
_cell_length_b 5.138
_cell_length_c 5.138
_cell_angle_alpha 90.00
_cell_angle_beta 90.00
_cell_angle_gamma 90.00
_symmetry_space_group_name_H-M 'P m -3 m'
_symmetry_Int_Tables_number 221
_symmetry_space_group_name_Hall '-P 4 2 3'
loop_
_atom_site_label
_atom_site_type_symbol
_atom_site_fract_x
_atom_site_fract_y
_atom_site_fract_z
_atom_site_occupancy
Al1 Al 0.000 0.000 0.000 1
Cr1 Cr 0.000 0.500 0.500 1
Te1 Te 0.500 0.500 0.500 1
# N(E_F) = 3.2 states/eV/cell
# M_tot = 13.0 μB per formula unit

***

<2>
# AlCr3Te | Alexandria via LeMat-Bulk | PBE | optimized geometry
data_AlCr3Te
_cell_length_a 4.784
_cell_length_b 4.784
_cell_length_c 4.784
_cell_angle_alpha 90.00
_cell_angle_beta 90.00
_cell_angle_gamma 90.00
_symmetry_space_group_name_H-M 'P m -3 m'
_symmetry_Int_Tables_number 221
_symmetry_space_group_name_Hall '-P 4 2 3'
loop_
_atom_site_label
_atom_site_type_symbol
_atom_site_fract_x
_atom_site_fract_y
_atom_site_fract_z
_atom_site_occupancy
Al1 Al 0.000 0.000 0.000 1
Cr1 Cr 0.000 0.000 0.500 1
Te1 Te 0.500 0.500 0.500 1
# N(E_F) = 4.5 states/eV/cell
# M_tot = 11.2 μB per formula unit

***

Which one is the most stable? From the structures above, <2>.